Record 1
Compound: CoCu2Ir
Source: Alexandria
Functional: PBE-GGA
Structure: relaxed

Structure (POSCAR):
```
CoCu2Ir
1.0
-4.8703 0.2678 -0.0662
-2.3031 -2.4111 -3.5606
2.9768 -0.3334 3.8501
Co Cu Ir
1 2 1
Cartesian
-1.4207 -1.8974 -0.7438
-7.1686 -2.1419 -3.6244
-2.8019 -0.5871 0.9540
-3.5655 -1.0653 -1.8027
```

Results
Mass density, kg/m3: 12561
Formation enthalpy at 0 K, eV/f.u.: 0.72
Total magnetic moment, μB/cell: 2.30
Distance to the lowest polymorph of the same formula, meV per atom: 84


Record 2
Compound: CoCuIr
Source: Alexandria
Functional: PBE-GGA
Structure: relaxed

Structure (POSCAR):
```
CoCuIr
1.0
5.6421 -0.0002 0.0000
4.3768 3.5605 0.0000
-5.0095 -1.7801 1.8895
Co Cu Ir
1 1 1
Cartesian
0.0055 0.0020 0.0000
3.3943 1.2062 0.0000
6.6191 2.3521 0.0000
```

Results
Mass density, kg/m3: 13767
Formation enthalpy at 0 K, eV/f.u.: 0.38
Total magnetic moment, μB/cell: 1.80
Distance to the lowest polymorph of the same formula, meV per atom: 24